Density functional theory data (PBE) for a geometry-optimized Er2Tm6PuSc3 structure.

The structure belongs to space group C2/m (No. 12); the cell edges are 5.9500, 10.3041 and 11.2647 Å and the angles 90.00°, 100.17° and 90.00°. The asymmetric unit holds Er at (0.0000, 0.1666, 0.0000), Tm at (0.2452, 0.5000, 0.7438), Tm at (0.2495, 0.1652, 0.7441), Pu at (0.0000, 0.5000, 0.0000), Sc at (0.0000, 0.0000, 0.5000) and Sc at (0.0000, 0.3326, 0.5000).

The value obtained for the formation energy is 0.7 eV per formula unit. The calculation puts the total energy at -137.120 eV/cell. As for the density of states at the Fermi level: 51.22 states/eV/cell.